Entry 1:
PPt2I | meta-GGA SCAN | single point on PBEsol structure

a b c (Å): 6.5347 6.5347 6.5347
angles (deg): 90.00 90.00 90.00
With the nearest neighbours (Å) after each atom.
Space group Fm-3m (No. 225)
Asymmetric unit:
P  0.0000  0.0000  0.0000 [4 per cell]  8 Pt 2.83
Pt  0.2500  0.2500  0.2500 [8 per cell]  4 I 2.83, 4 P 2.83
I  0.0000  0.0000  0.5000 [4 per cell]  8 Pt 2.83

Calculated values
The density of states at the Fermi level is 0.43 states/eV/atom. The calculation puts the spin magnetization at 0.000 μB per atom. The mass density comes out at 13.0 g/cm3. Its formation energy (no corrections) is 278 kJ/mol of formula units. For the volume, the calculation gives 279.0 Å³/cell.

=====

Entry 2:
P3PtI | meta-GGA SCAN | single point on PBEsol structure

a b c (Å): 4.7057 4.7057 4.7057
angles (deg): 90.00 90.00 90.00
With the nearest neighbours (Å) after each atom.
Space group Pm-3m (No. 221)
Asymmetric unit:
P  0.0000  0.0000  0.5000 [3 per cell]  2 Pt 2.35
Pt  0.0000  0.0000  0.0000 [1 per cell]  6 P 2.35
I  0.5000  0.5000  0.5000 [1 per cell]  12 P 3.33

Calculated values
The density of states at the Fermi level is 1.08 states/eV/atom. The calculation puts the spin magnetization at 0.000 μB per atom. The mass density comes out at 6.6 g/cm3. Its formation energy (no corrections) is 418 kJ/mol of formula units. For the volume, the calculation gives 104.2 Å³/cell.

=====

Entry 3:
PRu2PtI | meta-GGA SCAN | single point on PBEsol structure

a b c (Å): 5.0213 5.0213 4.2489
angles (deg): 90.00 90.00 90.00
With the nearest neighbours (Å) after each atom.
Space group P4/mmm (No. 123)
Asymmetric unit:
P  0.0000  0.0000  0.0000 [1 per cell]  2 Pt 2.12
Ru  0.0000  0.5000  0.5000 [2 per cell]  2 Pt 2.51
Pt  0.0000  0.0000  0.5000 [1 per cell]  2 P 2.12
I  0.5000  0.5000  0.0000 [1 per cell]  8 Ru 3.29, 4 P 3.55

Calculated values
The density of states at the Fermi level is 0.99 states/eV/atom. The calculation puts the spin magnetization at 1.142 μB per atom. The mass density comes out at 8.6 g/cm3. Its formation energy (no corrections) is 597 kJ/mol of formula units. For the volume, the calculation gives 107.1 Å³/cell.

=====

Entry 4:
PPtS2I | meta-GGA SCAN | single point on PBEsol structure

a b c (Å): 4.7738 4.7738 4.5409
angles (deg): 90.00 90.00 90.00
With the nearest neighbours (Å) after each atom.
Space group P4/mmm (No. 123)
Asymmetric unit:
P  0.0000  0.0000  0.0000 [1 per cell]  2 Pt 2.27
Pt  0.0000  0.0000  0.5000 [1 per cell]  2 P 2.27, 4 S 2.39
S  0.0000  0.5000  0.5000 [2 per cell]  2 Pt 2.39
I  0.5000  0.5000  0.0000 [1 per cell]  8 S 3.29, 4 P 3.38

Calculated values
The density of states at the Fermi level is 0.82 states/eV/atom. The calculation puts the spin magnetization at 0.000 μB per atom. The mass density comes out at 6.7 g/cm3. Its formation energy (no corrections) is 306 kJ/mol of formula units. For the volume, the calculation gives 103.5 Å³/cell.

=====

Entry 5:
PPtS2I | meta-GGA SCAN | single point on PBEsol structure

a b c (Å): 4.8349 4.8349 5.1425
angles (deg): 90.00 90.00 90.00
With the nearest neighbours (Å) after each atom.
Space group P4/mmm (No. 123)
Asymmetric unit:
P  0.0000  0.0000  0.0000 [1 per cell]  2 I 2.57
Pt  0.5000  0.5000  0.0000 [1 per cell]  4 P 3.42, 8 S 3.53
S  0.0000  0.5000  0.5000 [2 per cell]  2 I 2.42
I  0.0000  0.0000  0.5000 [1 per cell]  4 S 2.42, 2 P 2.57

Calculated values
The density of states at the Fermi level is 1.11 states/eV/atom. The calculation puts the spin magnetization at 0.001 μB per atom. The mass density comes out at 5.8 g/cm3. Its formation energy (no corrections) is 905 kJ/mol of formula units. For the volume, the calculation gives 120.2 Å³/cell.

=====

Entry 6:
Rb3PI | meta-GGA SCAN | single point on PBEsol structure

a b c (Å): 6.3555 6.3555 6.3555
angles (deg): 90.00 90.00 90.00
With the nearest neighbours (Å) after each atom.
Space group Pm-3m (No. 221)
Asymmetric unit:
Rb  0.0000  0.0000  0.5000 [3 per cell]  2 P 3.18
P  0.0000  0.0000  0.0000 [1 per cell]  6 Rb 3.18
I  0.5000  0.5000  0.5000 [1 per cell]  12 Rb 4.49

Calculated values
The density of states at the Fermi level is 0.42 states/eV/atom. The calculation puts the spin magnetization at 0.200 μB per atom. The mass density comes out at 2.7 g/cm3. Its formation energy (no corrections) is -301 kJ/mol of formula units. For the volume, the calculation gives 256.7 Å³/cell.

=====

Entry 7:
RbP3I | meta-GGA SCAN | single point on PBEsol structure

a b c (Å): 6.4030 6.4030 6.4030
angles (deg): 90.00 90.00 90.00
With the nearest neighbours (Å) after each atom.
Space group Pm-3m (No. 221)
Asymmetric unit:
Rb  0.0000  0.0000  0.0000 [1 per cell]  6 P 3.20
P  0.0000  0.0000  0.5000 [3 per cell]  2 Rb 3.20
I  0.5000  0.5000  0.5000 [1 per cell]  12 P 4.53

Calculated values
The density of states at the Fermi level is 1.54 states/eV/atom. The calculation puts the spin magnetization at 1.774 μB per atom. The mass density comes out at 1.9 g/cm3. Its formation energy (no corrections) is 815 kJ/mol of formula units. For the volume, the calculation gives 262.5 Å³/cell.

=====

Entry 8:
RbPS2I | meta-GGA SCAN | single point on PBEsol structure

a b c (Å): 5.9943 5.9943 6.2939
angles (deg): 90.00 90.00 90.00
With the nearest neighbours (Å) after each atom.
Space group P4/mmm (No. 123)
Asymmetric unit:
Rb  0.0000  0.0000  0.0000 [1 per cell]  4 S 3.00, 2 P 3.15
P  0.0000  0.0000  0.5000 [1 per cell]  2 Rb 3.15
S  0.0000  0.5000  0.0000 [2 per cell]  2 Rb 3.00
I  0.5000  0.5000  0.5000 [1 per cell]  4 P 4.24, 8 S 4.35

Calculated values
The density of states at the Fermi level is 0.77 states/eV/atom. The calculation puts the spin magnetization at 1.388 μB per atom. The mass density comes out at 2.3 g/cm3. Its formation energy (no corrections) is 614 kJ/mol of formula units. For the volume, the calculation gives 226.1 Å³/cell.

=====

Which of these has the highest formation energy (no corrections)? number 5

=====

Copy entry 8 word for word.
RbPS2I | meta-GGA SCAN | single point on PBEsol structure

a b c (Å): 5.9943 5.9943 6.2939
angles (deg): 90.00 90.00 90.00
With the nearest neighbours (Å) after each atom.
Space group P4/mmm (No. 123)
Asymmetric unit:
Rb  0.0000  0.0000  0.0000 [1 per cell]  4 S 3.00, 2 P 3.15
P  0.0000  0.0000  0.5000 [1 per cell]  2 Rb 3.15
S  0.0000  0.5000  0.0000 [2 per cell]  2 Rb 3.00
I  0.5000  0.5000  0.5000 [1 per cell]  4 P 4.24, 8 S 4.35

Calculated values
The density of states at the Fermi level is 0.77 states/eV/atom. The calculation puts the spin magnetization at 1.388 μB per atom. The mass density comes out at 2.3 g/cm3. Its formation energy (no corrections) is 614 kJ/mol of formula units. For the volume, the calculation gives 226.1 Å³/cell.